Entry 1:
An optimized crystal structure of Cs3Pm2DySe6. Source: Alexandria via LeMat-Bulk, functional PBE.

```
12
Lattice="3.7573 -6.5076 0.0000 3.7573 6.5076 0.0000 -2.5068 0.0000 8.3965" Properties=species:S:1:pos:R:3 pbc="T T T"
Cs 0.0000 0.0000 0.0000
Cs 3.7573 2.1881 0.0000
Cs 3.7573 -2.1881 0.0000
Pm 2.5040 4.3400 4.1983
Pm 2.5040 -4.3400 4.1983
Dy 2.5040 0.0000 4.1983
Se 1.2753 2.1288 2.6207
Se 0.0456 0.0000 5.7811
Se 1.2753 -2.1288 2.6207
Se 3.7327 2.1288 5.7758
Se 4.9623 0.0000 2.6155
Se 3.7327 -2.1288 5.7758
```

Values from the calculation:
N(E_F)   0.00 states/eV per cell
Calculated density   5.4 g/cm³
ΔE_f (raw)   -1.729 eV/atom
Final energy   -4.86 eV/atom
Space-group type   C2/m

---

Entry 2:
An optimized crystal structure of Cs3PmDy2Te6. Source: Alexandria via LeMat-Bulk, functional PBE.

```
12
Lattice="3.9716 -6.8793 0.0000 3.9716 6.8793 0.0000 -2.6491 0.0000 8.9279" Properties=species:S:1:pos:R:3 pbc="T T T"
Cs 0.0000 0.0000 0.0000
Cs 3.9716 2.2710 0.0000
Cs 3.9716 -2.2710 0.0000
Pm 2.6470 0.0000 4.4639
Dy 2.6470 4.5839 4.4639
Dy 2.6470 -4.5839 4.4639
Te 1.2999 2.3332 2.7570
Te -0.0476 0.0000 6.1653
Te 1.2999 -2.3332 2.7570
Te 3.9942 2.3332 6.1709
Te 5.3417 0.0000 2.7626
Te 3.9942 -2.3332 6.1709
```

Values from the calculation:
Calculated density   5.6 g/cm³
ΔE_f (raw)   -1.394 eV/atom
Final energy   -4.34 eV/atom
Space-group type   C2/m

---

Entry 3:
An optimized crystal structure of Cs4Pr3DyS8. Source: Alexandria via LeMat-Bulk, functional PBE.

```
16
Lattice="4.2416 2.4489 8.1002 -4.2416 2.4489 8.1002 0.0000 -4.8978 8.1002" Properties=species:S:1:pos:R:3 pbc="T T T"
Cs 0.0000 0.0000 0.0000
Cs -2.1208 -1.2245 8.1002
Cs -2.1208 1.2244 16.2004
Cs 0.0000 2.4489 8.1002
Pr -4.2416 0.0000 12.1503
Pr -2.1208 1.2244 4.0501
Pr 2.1208 1.2245 4.0501
Dy 0.0000 0.0000 12.1503
S 0.0000 0.0000 5.5792
S -2.0627 -1.1909 13.6492
S 0.0000 -2.3818 10.6515
S -2.0627 1.1909 10.6515
S 2.0627 -1.1909 13.6492
S 0.0000 2.3818 13.6492
S 2.0627 1.1909 10.6515
S 0.0000 0.0000 18.7215
```

Values from the calculation:
N(E_F)   0.00 states/eV per cell
Calculated density   4.5 g/cm³
ΔE_f (raw)   -1.807 eV/atom
Final energy   -5.27 eV/atom
Space-group type   R-3m

---

Entry 4:
An optimized crystal structure of Cs3PrDy2S6. Source: Alexandria via LeMat-Bulk, functional PBE.

```
12
Lattice="3.6083 -6.2494 0.0000 3.6083 6.2494 0.0000 -2.4064 0.0000 8.0808" Properties=species:S:1:pos:R:3 pbc="T T T"
Cs 0.0000 0.0000 0.0000
Cs 3.6083 2.0670 0.0000
Cs 3.6083 -2.0670 0.0000
Pr 2.4051 0.0000 4.0404
Dy 2.4051 4.1654 4.0404
Dy 2.4051 -4.1654 4.0404
S 1.1655 2.1470 2.5568
S -0.0740 0.0000 5.5191
S 1.1655 -2.1470 2.5568
S 3.6446 2.1470 5.5240
S 4.8842 0.0000 2.5617
S 3.6446 -2.1470 5.5240
```

Values from the calculation:
N(E_F)   0.00 states/eV per cell
Calculated density   4.8 g/cm³
ΔE_f (raw)   -1.820 eV/atom
Final energy   -5.26 eV/atom
Space-group type   C2/m

---

Entry 5:
An optimized crystal structure of Cs4PrDy3Se8. Source: Alexandria via LeMat-Bulk, functional PBE.

```
16
Lattice="4.3102 2.4885 8.3874 -4.3102 2.4885 8.3874 0.0000 -4.9770 8.3874" Properties=species:S:1:pos:R:3 pbc="T T T"
Cs 0.0000 0.0000 0.0000
Cs -2.1551 -1.2442 8.3874
Cs -2.1551 1.2442 16.7747
Cs 0.0000 2.4885 8.3874
Pr 0.0000 0.0000 12.5811
Dy -4.3102 0.0000 12.5811
Dy -2.1551 1.2442 4.1937
Dy 2.1551 1.2442 4.1937
Se -2.2113 -1.2767 14.1542
Se 0.0000 0.0000 5.7402
Se 0.0000 -2.5534 11.0079
Se -2.2113 1.2767 11.0079
Se 2.2113 -1.2767 14.1542
Se 0.0000 2.5534 14.1542
Se 0.0000 0.0000 19.4219
Se 2.2113 1.2767 11.0079
```

Values from the calculation:
N(E_F)   0.00 states/eV per cell
Calculated density   5.5 g/cm³
ΔE_f (raw)   -1.724 eV/atom
Final energy   -4.84 eV/atom
Space-group type   R-3m

---

Entry 6:
An optimized crystal structure of Cs3PrDy2Se6. Source: Alexandria via LeMat-Bulk, functional PBE.

```
12
Lattice="3.7439 -6.4846 0.0000 3.7439 6.4846 0.0000 -2.4975 0.0000 8.3927" Properties=species:S:1:pos:R:3 pbc="T T T"
Cs 0.0000 0.0000 0.0000
Cs 3.7439 2.1356 0.0000
Cs 3.7439 -2.1356 0.0000
Pr 2.4952 0.0000 4.1964
Dy 2.4952 4.3209 4.1964
Dy 2.4952 -4.3209 4.1964
Se 1.2109 2.2245 2.6222
Se -0.0734 0.0000 5.7633
Se 1.2109 -2.2245 2.6222
Se 3.7794 2.2245 5.7705
Se 5.0638 0.0000 2.6294
Se 3.7794 -2.2245 5.7705
```

Values from the calculation:
N(E_F)   0.00 states/eV per cell
Calculated density   5.5 g/cm³
ΔE_f (raw)   -1.725 eV/atom
Final energy   -4.85 eV/atom
Space-group type   C2/m